A relaxed structure of CsLiS. Source: Alexandria via LeMat-Bulk, functional PBE.

a b c (Å): 4.2304 4.2304 10.1607
angles (deg): 102.02 102.02 90.00
Last column: nearest neighbours and their distance in Å.
Positions (direct):
Cs  0.6667  0.6667  0.3333  4 S 3.38
Cs  0.3333  0.3333  0.6667  4 S 3.38
Li  0.5000  0.0000  0.0000  4 S 2.69, 4 Li 2.99
Li  0.0000  0.5000  0.0000  4 S 2.69, 4 Li 2.99
S  0.0852  0.0852  0.1705  4 Li 2.69
S  0.9148  0.9148  0.8295  4 Li 2.69

## Properties
Calculated volume, A^3/atom: 29.0
DFT total energy, eV/atom: -3.2606
Formation energy (no corrections), eV/f.u.: -2.887